Record 1
! CoBiP2Ir PBE-GGA optimized geometry; values from VASP
! Energy of formation from the pure elements   2141 meV/atom
! Total energy   -3.9924 eV/atom
&SYSTEM
  ibrav = 0, nat = 5, ntyp = 4
/
ATOMIC_SPECIES
Co 58.93 Co.upf
Bi 208.98 Bi.upf
P 30.97 P.upf
Ir 192.22 Ir.upf
ATOMIC_POSITIONS crystal
Co 0.000 0.000 0.000
Bi 0.500 0.500 0.500
P 0.000 0.500 0.500
P 0.500 0.000 0.500
Ir 0.500 0.500 0.000
CELL_PARAMETERS angstrom
5.199 0.000 0.000
0.000 5.199 0.000
0.000 0.000 5.005

Record 2
! CoBi2IrRh PBE-GGA optimized geometry; values from VASP
! Energy of formation from the pure elements   1026 meV/atom
! Total energy   -5.1903 eV/atom
&SYSTEM
  ibrav = 0, nat = 5, ntyp = 4
/
ATOMIC_SPECIES
Co 58.93 Co.upf
Bi 208.98 Bi.upf
Ir 192.22 Ir.upf
Rh 102.91 Rh.upf
ATOMIC_POSITIONS crystal
Co 0.000 0.000 0.000
Bi 0.000 0.500 0.000
Bi 0.500 0.000 0.000
Ir 0.500 0.500 0.500
Rh 0.000 0.000 0.500
CELL_PARAMETERS angstrom
4.893 0.000 0.000
0.000 4.893 0.000
0.000 0.000 4.506

Record 3
! CoSnBiIr2 PBE-GGA optimized geometry; values from VASP
! Energy of formation from the pure elements   2121 meV/atom
! Total energy   -4.4209 eV/atom
&SYSTEM
  ibrav = 0, nat = 5, ntyp = 4
/
ATOMIC_SPECIES
Co 58.93 Co.upf
Sn 118.71 Sn.upf
Bi 208.98 Bi.upf
Ir 192.22 Ir.upf
ATOMIC_POSITIONS crystal
Co 0.000 0.000 0.000
Sn 0.500 0.500 0.000
Bi 0.500 0.500 0.500
Ir 0.000 0.500 0.500
Ir 0.500 0.000 0.500
CELL_PARAMETERS angstrom
5.000 0.000 0.000
0.000 5.000 0.000
0.000 0.000 5.674

Record 4
! SrCoBiIr2 PBE-GGA optimized geometry; values from VASP
! Energy of formation from the pure elements   1732 meV/atom
! Total energy   -4.3461 eV/atom
&SYSTEM
  ibrav = 0, nat = 5, ntyp = 4
/
ATOMIC_SPECIES
Sr 87.62 Sr.upf
Co 58.93 Co.upf
Bi 208.98 Bi.upf
Ir 192.22 Ir.upf
ATOMIC_POSITIONS crystal
Sr 0.000 0.000 0.000
Co 0.500 0.500 0.000
Bi 0.000 0.000 0.500
Ir 0.000 0.500 0.500
Ir 0.500 0.000 0.500
CELL_PARAMETERS angstrom
5.032 0.000 0.000
0.000 5.032 0.000
0.000 0.000 5.967

Record 5
! Th3CoBiIr PBE-GGA optimized geometry; values from VASP
! Energy of formation from the pure elements   -564 meV/atom
! Total energy   -7.5824 eV/atom
&SYSTEM
  ibrav = 0, nat = 12, ntyp = 4
/
ATOMIC_SPECIES
Th 232.04 Th.upf
Co 58.93 Co.upf
Bi 208.98 Bi.upf
Ir 192.22 Ir.upf
ATOMIC_POSITIONS crystal
Th 0.162 0.250 0.152
Th 0.176 0.750 0.480
Th 0.323 0.750 0.888
Th 0.677 0.250 0.112
Th 0.824 0.250 0.520
Th 0.838 0.750 0.848
Co 0.017 0.750 0.669
Co 0.983 0.250 0.331
Bi 0.497 0.250 0.708
Bi 0.503 0.750 0.292
Ir 0.081 0.250 0.849
Ir 0.919 0.750 0.151
CELL_PARAMETERS angstrom
8.208 0.000 0.000
0.000 4.448 0.000
-3.924 0.000 9.053

Record 6
! KCoBi2 PBE-GGA optimized geometry; values from VASP
! Excess energy over the best structure of this formula in the dataset   0 meV/atom
! Energy of formation from the pure elements   252 meV/atom
! Total energy   -3.7394 eV/atom
&SYSTEM
  ibrav = 0, nat = 8, ntyp = 3
/
ATOMIC_SPECIES
K 39.10 K.upf
Co 58.93 Co.upf
Bi 208.98 Bi.upf
ATOMIC_POSITIONS crystal
K 0.000 0.000 0.000
K 0.750 0.250 0.500
Co 0.250 0.750 0.500
Co 0.500 0.500 0.000
Bi 0.343 0.625 0.218
Bi 0.375 0.593 0.718
Bi 0.407 0.125 0.782
Bi 0.875 0.657 0.282
CELL_PARAMETERS angstrom
-3.166 3.166 7.833
3.166 -3.166 7.833
3.166 3.166 -7.833

Record 7
! KCo2Bi PBE-GGA optimized geometry; values from VASP
! Energy of formation from the pure elements   656 meV/atom
! Total energy   -4.1413 eV/atom
&SYSTEM
  ibrav = 0, nat = 8, ntyp = 3
/
ATOMIC_SPECIES
K 39.10 K.upf
Co 58.93 Co.upf
Bi 208.98 Bi.upf
ATOMIC_POSITIONS crystal
K 0.375 0.625 0.750
K 0.625 0.375 0.250
Co 0.000 0.000 0.000
Co 0.000 0.000 0.500
Co 0.000 0.500 0.000
Co 0.500 0.000 0.500
Bi 0.125 0.875 0.250
Bi 0.875 0.125 0.750
CELL_PARAMETERS angstrom
-2.470 2.470 9.035
2.470 -2.470 9.035
2.470 2.470 -9.035

Record 8
! KCoBi2 PBE-GGA optimized geometry; values from VASP
! Excess energy over the best structure of this formula in the dataset   185 meV/atom
! Energy of formation from the pure elements   437 meV/atom
! Total energy   -3.5543 eV/atom
&SYSTEM
  ibrav = 0, nat = 4, ntyp = 3
/
ATOMIC_SPECIES
K 39.10 K.upf
Co 58.93 Co.upf
Bi 208.98 Bi.upf
ATOMIC_POSITIONS crystal
K 0.000 0.000 0.000
Co 0.500 0.500 0.500
Bi 0.250 0.250 0.250
Bi 0.750 0.750 0.750
CELL_PARAMETERS angstrom
0.000 3.704 3.704
3.704 0.000 3.704
3.704 3.704 0.000

Record 9
! K3CoBi PBE-GGA optimized geometry; values from VASP
! Excess energy over the best structure of this formula in the dataset   0 meV/atom
! Energy of formation from the pure elements   635 meV/atom
! Total energy   -2.2207 eV/atom
&SYSTEM
  ibrav = 0, nat = 5, ntyp = 3
/
ATOMIC_SPECIES
K 39.10 K.upf
Co 58.93 Co.upf
Bi 208.98 Bi.upf
ATOMIC_POSITIONS crystal
K 0.000 0.000 0.500
K 0.000 0.500 0.000
K 0.500 0.000 0.000
Co 0.500 0.500 0.500
Bi 0.000 0.000 0.000
CELL_PARAMETERS angstrom
6.799 0.000 0.000
0.000 6.799 0.000
0.000 0.000 6.799

Record 10
! KCoBi3 PBE-GGA optimized geometry; values from VASP
! Excess energy over the best structure of this formula in the dataset   1558 meV/atom
! Energy of formation from the pure elements   1708 meV/atom
! Total energy   -2.2616 eV/atom
&SYSTEM
  ibrav = 0, nat = 5, ntyp = 3
/
ATOMIC_SPECIES
K 39.10 K.upf
Co 58.93 Co.upf
Bi 208.98 Bi.upf
ATOMIC_POSITIONS crystal
K 0.000 0.000 0.000
Co 0.500 0.500 0.500
Bi 0.000 0.000 0.500
Bi 0.000 0.500 0.000
Bi 0.500 0.000 0.000
CELL_PARAMETERS angstrom
5.877 0.000 0.000
0.000 5.877 0.000
0.000 0.000 5.877

Record 11
! K2CoBi2 PBE-GGA optimized geometry; values from VASP
! Energy of formation from the pure elements   12 meV/atom
! Total energy   -3.4001 eV/atom
&SYSTEM
  ibrav = 0, nat = 10, ntyp = 3
/
ATOMIC_SPECIES
K 39.10 K.upf
Co 58.93 Co.upf
Bi 208.98 Bi.upf
ATOMIC_POSITIONS crystal
K 0.167 0.333 0.000
K 0.333 0.833 0.000
K 0.667 0.167 0.000
K 0.833 0.667 0.000
Co 0.000 0.000 0.500
Co 0.500 0.500 0.500
Bi 0.157 0.657 0.500
Bi 0.343 0.157 0.500
Bi 0.657 0.843 0.500
Bi 0.843 0.343 0.500
CELL_PARAMETERS angstrom
7.185 0.000 0.000
0.000 7.185 0.000
0.000 0.000 6.003

Record 12
! KCoBi3 PBE-GGA optimized geometry; values from VASP
! Excess energy over the best structure of this formula in the dataset   0 meV/atom
! Energy of formation from the pure elements   150 meV/atom
! Total energy   -3.8192 eV/atom
&SYSTEM
  ibrav = 0, nat = 5, ntyp = 3
/
ATOMIC_SPECIES
K 39.10 K.upf
Co 58.93 Co.upf
Bi 208.98 Bi.upf
ATOMIC_POSITIONS crystal
K 0.000 0.000 0.000
Co 0.500 0.500 0.500
Bi 0.000 0.500 0.500
Bi 0.500 0.000 0.500
Bi 0.500 0.500 0.000
CELL_PARAMETERS angstrom
5.312 0.000 0.000
0.000 5.312 0.000
0.000 0.000 5.312

Record 13
! KMgCo2Bi PBE-GGA optimized geometry; values from VASP
! Energy of formation from the pure elements   1178 meV/atom
! Total energy   -2.9793 eV/atom
&SYSTEM
  ibrav = 0, nat = 5, ntyp = 4
/
ATOMIC_SPECIES
K 39.10 K.upf
Mg 24.30 Mg.upf
Co 58.93 Co.upf
Bi 208.98 Bi.upf
ATOMIC_POSITIONS crystal
K 0.000 0.000 0.000
Mg 0.000 0.000 0.500
Co 0.000 0.500 0.500
Co 0.500 0.000 0.500
Bi 0.500 0.500 0.000
CELL_PARAMETERS angstrom
4.830 0.000 0.000
0.000 4.830 0.000
0.000 0.000 5.319